TbHo3Er | GGA-PBE | relaxed

The energy of formation from the pure elements is 0.0048 eV/atom. The value obtained for the relative energy among the computed polymorphs is 0.000 eV/atom.

Lattice parameters (Å, degrees): 6.2243 6.6499 9.1161 72.33 89.99 62.14
With the nearest neighbours (Å) after each atom.
Space group P-1 (No. 2)
Unique sites:
Tb 0.0325 0.1007 0.1505 [2 per cell]  9 Ho 3.47-3.61, 1 Tb 3.50, 2 Er 3.59-3.60
Ho 0.1668 0.4991 0.2501 [2 per cell]  3 Tb 3.47-3.60, 6 Ho 3.48-3.60, 3 Er 3.48-3.59
Ho 0.2333 0.6995 0.5490 [2 per cell]  6 Ho 3.47-3.60, 4 Er 3.48-3.59, 2 Tb 3.49-3.59
Ho 0.4345 0.2996 0.9490 [2 per cell]  6 Ho 3.48-3.60, 4 Tb 3.48-3.61, 2 Er 3.48-3.61
Er 0.3665 0.0995 0.6494 [2 per cell]  1 Er 3.47, 9 Ho 3.48-3.61, 2 Tb 3.59-3.60


PrDy5Ag4 | GGA-PBE | relaxed

The energy of formation from the pure elements is -0.2507 eV/atom.

Lattice parameters (Å, degrees): 3.6134 3.6134 19.8720 90.00 90.00 90.00
With the nearest neighbours (Å) after each atom.
Space group P4/mmm (No. 123)
Unique sites:
Pr 0.0000 0.0000 0.0000 [1 per cell]  4 Pr 3.61, 8 Dy 3.63
Dy 0.5000 0.5000 0.1301 [2 per cell]  4 Ag 3.14
Dy 0.5000 0.5000 0.3140 [2 per cell]  8 Ag 3.15-3.16
Dy 0.5000 0.5000 0.5000 [1 per cell]  8 Ag 3.15
Ag 0.0000 0.0000 0.2215 [2 per cell]  8 Dy 3.14-3.15
Ag 0.0000 0.0000 0.4072 [2 per cell]  8 Dy 3.15-3.16


no.,density of states at the Fermi level (states/eV per atom)
1,1.795
2,0.782